Computed, not measured: a relaxed structure of TmPaMoO6 at the GGA+U level of DFT.

a = 4.9913 Å, b = 4.9913 Å, c = 10.1868 Å
α = 90.00°, β = 90.00°, γ = 90.00°
Closest atoms and distances in Å follow each position.
Atoms (fractional coordinates):
Tm 0.0000 0.0000 0.0000  6 O 2.21-2.28
Tm 0.5000 0.5000 0.5000  6 O 2.21-2.28
Pa 0.0000 0.0000 0.3366  6 O 2.17-2.23
Pa 0.5000 0.5000 0.8366  6 O 2.17-2.23
Mo 0.0000 0.0000 0.6688  6 O 2.07-2.11
Mo 0.5000 0.5000 0.1688  6 O 2.07-2.11
O 0.1873 0.1873 0.5087  1 Mo 2.10, 1 Pa 2.20, 1 Tm 2.21
O 0.1932 0.1932 0.8269  1 Mo 2.11, 1 Pa 2.17, 1 Tm 2.23
O 0.2072 0.2072 0.1719  1 Mo 2.07, 1 Pa 2.23, 1 Tm 2.28
O 0.2928 0.7072 0.6719  1 Mo 2.07, 1 Pa 2.23, 1 Tm 2.28
O 0.3068 0.6932 0.3269  1 Mo 2.11, 1 Pa 2.17, 1 Tm 2.23
O 0.3127 0.6873 0.0087  1 Mo 2.10, 1 Pa 2.20, 1 Tm 2.21
O 0.6873 0.3127 0.0087  1 Mo 2.10, 1 Pa 2.20, 1 Tm 2.21
O 0.6932 0.3068 0.3269  1 Mo 2.11, 1 Pa 2.17, 1 Tm 2.23
O 0.7072 0.2928 0.6719  1 Mo 2.07, 1 Pa 2.23, 1 Tm 2.28
O 0.7928 0.7928 0.1719  1 Mo 2.07, 1 Pa 2.23, 1 Tm 2.28
O 0.8068 0.8068 0.8269  1 Mo 2.11, 1 Pa 2.17, 1 Tm 2.23
O 0.8127 0.8127 0.5087  1 Mo 2.10, 1 Pa 2.20, 1 Tm 2.21

Summary:
Space group: P4_2nm (102)
Magnetization: 4.0 μB/cell
ρ: 7.75 g cm⁻³
Total energy: -8.626 eV per atom